Entry 1:
## U6PaN12 (PBE)

Data for a geometry-optimized U6PaN12 structure.

Results
- uncorrected formation energy (eV/atom) = -1.457

Cell: 10.0203 10.0203 9.1632 Å, 90.00 90.00 120.00°
Space group R-3 (No. 148, hexagonal axes)
Symmetry-distinct sites (fractional):
U  0.0469  0.2534  0.1564 [18 per cell]
Pa  0.0000  0.0000  0.5000 [3 per cell]
N  0.0341  0.2241  0.9007 [18 per cell]
N  0.0394  0.2207  0.3961 [18 per cell]

Entry 2:
## InCuAgCl6 (PBE)

Data for a geometry-optimized InCuAgCl6 structure.

Results
- uncorrected formation energy (eV/atom) = -0.713

Cell: 6.4082 6.4082 6.0331 Å, 90.00 90.00 120.00°
Space group P312 (No. 149)
Symmetry-distinct sites (fractional):
In  0.0000  0.0000  0.0000 [1 per cell]
Cu  0.3333  0.6667  0.0000 [1 per cell]
Ag  0.6667  0.3333  0.5000 [1 per cell]
Cl  0.0260  0.3450  0.2343 [6 per cell]

Entry 3:
## Zr4ScCd (PBE)

Data for a geometry-optimized Zr4ScCd structure.

Results
- energy above the most stable polymorph in this dataset (kJ/mol of formula units) = 138
- energy of formation (eV/atom) = 0.20

Cell: 8.286 8.286 8.286 Å, 90.00 90.00 90.00°
Space group F-43m (No. 216)
Symmetry-distinct sites (fractional):
Zr  0.123  0.123  0.377 [16 per cell]
Sc  0.250  0.250  0.750 [4 per cell]
Cd  0.000  0.000  0.000 [4 per cell]

Entry 4:
## PuInCu (PBE)

Data for a geometry-optimized PuInCu structure.

Results
- energy of formation (eV/atom) = -0.08

Cell: 4.8536 4.8536 3.1010 Å, 90.00 90.00 120.00°
Space group P-6m2 (No. 187)
Symmetry-distinct sites (fractional):
Pu  0.0000  0.0000  0.0000 [1 per cell]
In  0.6667  0.3333  0.5000 [1 per cell]
Cu  0.3333  0.6667  0.5000 [1 per cell]

Entry 5:
## Th2TaTe2Br4 (PBE)

Data for a geometry-optimized Th2TaTe2Br4 structure.

Results
- uncorrected formation energy (eV/atom) = -1.050

Cell: 3.7750 3.7750 24.1477 Å, 90.00 90.00 120.00°
Space group P3m1 (No. 156)
Symmetry-distinct sites (fractional):
Th  0.0000  0.0000  0.0000 [1 per cell]
Th  0.3333  0.6667  0.3353 [1 per cell]
Ta  0.3333  0.6667  0.6792 [1 per cell]
Te  0.0000  0.0000  0.6044 [1 per cell]
Te  0.0000  0.0000  0.7539 [1 per cell]
Br  0.0000  0.0000  0.2473 [1 per cell]
Br  0.0000  0.0000  0.4229 [1 per cell]
Br  0.3333  0.6667  0.0880 [1 per cell]
Br  0.3333  0.6667  0.9125 [1 per cell]

Entry 6:
## YCu2Sb (PBE)

Data for a geometry-optimized YCu2Sb structure.

Results
- uncorrected formation energy (eV/atom) = -0.155

Cell: 3.626 3.626 6.057 Å, 90.00 90.00 90.00°
Space group P4/mmm (No. 123)
Symmetry-distinct sites (fractional):
Y  0.000  0.000  0.000 [1 per cell]
Cu  0.500  0.500  0.262 [2 per cell]
Sb  0.000  0.000  0.500 [1 per cell]

Entry 7:
## ThHg3 (PBE)

Data for a geometry-optimized ThHg3 structure.

Results
- energy of formation (eV/atom) = -0.24

Cell: 6.8207 6.8207 5.0377 Å, 90.00 90.00 120.00°
Space group P6_3/mmc (No. 194)
Symmetry-distinct sites (fractional):
Th  0.3333  0.6667  0.2500 [2 per cell]
Hg  0.1634  0.3268  0.7500 [6 per cell]

Entry 8:
## LiBeCr2Sn (PBE)

Data for a geometry-optimized LiBeCr2Sn structure.

Results
- energy of formation (eV/atom) = 1.17

Cell: 4.310 4.310 4.469 Å, 90.00 90.00 90.00°
Space group P4/mmm (No. 123)
Symmetry-distinct sites (fractional):
Li  0.000  0.000  0.000 [1 per cell]
Be  0.500  0.500  0.500 [1 per cell]
Cr  0.000  0.500  0.000 [2 per cell]
Sn  0.000  0.000  0.500 [1 per cell]

Entry 9:
## KAl3Au3 (PBE)

Data for a geometry-optimized KAl3Au3 structure.

Results
- energy above the most stable polymorph in this dataset (kJ/mol of formula units) = 0
- energy of formation (eV/atom) = -0.27

Cell: 6.9887 6.9887 24.6730 Å, 90.00 90.00 120.00°
Space group R-3 (No. 148, hexagonal axes)
Symmetry-distinct sites (fractional):
K  0.0000  0.0000  0.1653 [6 per cell]
Al  0.0089  0.4192  0.3753 [18 per cell]
Au  0.0058  0.2415  0.6030 [18 per cell]

Entry 10:
## RbNb2C (PBE)

Data for a geometry-optimized RbNb2C structure.

Results
- energy of formation (eV/atom) = 1.07

Cell: 6.701 6.701 9.492 Å, 90.00 90.00 90.00°
Space group I4_1/amd (No. 141, origin choice 2)
Symmetry-distinct sites (fractional):
Rb  0.000  0.250  0.375 [4 per cell]
Nb  0.000  0.000  0.000 [8 per cell]
C  0.000  0.250  0.875 [4 per cell]

Entry 11:
## BaTlPt3 (PBE)

Data for a geometry-optimized BaTlPt3 structure.

Results
- energy above the most stable polymorph in this dataset (kJ/mol of formula units) = 259
- energy of formation (eV/atom) = 0.22

Cell: 5.174 5.174 5.174 Å, 90.00 90.00 90.00°
Space group Pm-3m (No. 221)
Symmetry-distinct sites (fractional):
Ba  0.000  0.000  0.000 [1 per cell]
Tl  0.500  0.500  0.500 [1 per cell]
Pt  0.000  0.500  0.500 [3 per cell]

Entry 12:
## ScTc2Ge (PBE)

Data for a geometry-optimized ScTc2Ge structure.

Results
- energy of formation (eV/atom) = 0.31

Cell: 7.431 7.431 5.209 Å, 90.00 90.00 90.00°
Space group I-42d (No. 122)
Symmetry-distinct sites (fractional):
Sc  0.000  0.000  0.000 [4 per cell]
Tc  0.186  0.750  0.625 [8 per cell]
Ge  0.000  0.000  0.500 [4 per cell]

Computed values of density of states at the Fermi level (unit: states/eV/f.u.) for the preceding records, in sequence: 19.61, 5.43, 8.09, 7.83, 3.67, 1.87, 2.43, 3.90, 2.82, 3.53, 3.46, 4.94.